Density functional theory data (PBE) for an optimized crystal structure of Dy2Ir3Ru.

ΔH_f (0 K) (eV per atom): -0.714
Crystal system: hexagonal
Total moment (μB/f.u.): 0.00
ρ (kg/m3): 15399

Lattice parameters (Å, degrees): 5.359 5.359 8.696 90.00 90.00 120.00
Positions (direct):
1 Dy 0.333 0.667 0.066
2 Dy 0.333 0.667 0.434
3 Dy 0.667 0.333 0.566
4 Dy 0.667 0.333 0.934
5 Ir 0.169 0.338 0.750
6 Ir 0.169 0.831 0.750
7 Ir 0.338 0.169 0.250
8 Ir 0.662 0.831 0.750
9 Ir 0.831 0.169 0.250
10 Ir 0.831 0.662 0.250
11 Ru 0.000 0.000 0.000
12 Ru 0.000 0.000 0.500

***

Density functional theory data (PBE) for an optimized crystal structure of ScIF2.

Crystal system: tetragonal
Total moment (μB/f.u.): 0.00
ΔE_f (raw) (eV per atom): -2.74
Excess energy over the best structure of this formula in the dataset (meV/atom): 0.0
ρ (kg/m3): 3802

Lattice parameters (Å, degrees): 6.498 6.498 6.498 123.32 123.32 84.34
Positions (direct):
1 Sc 0.375 0.625 0.750
2 Sc 0.625 0.375 0.250
3 I 0.125 0.875 0.250
4 I 0.875 0.125 0.750
5 F 0.000 0.500 0.500
6 F 0.500 0.000 0.000
7 F 0.500 0.500 0.000
8 F 0.500 0.500 0.500

***

Density functional theory data (PBE) for an optimized crystal structure of YZrTaN3.

Crystal system: monoclinic
Total moment (μB/f.u.): 0.00
ΔE_f (raw) (eV per atom): -1.50
ρ (kg/m3): 8847

Lattice parameters (Å, degrees): 5.648 3.262 8.422 90.00 102.76 90.00
Positions (direct):
1 Y 0.150 0.250 0.190
2 Y 0.850 0.750 0.810
3 Zr 0.267 0.750 0.548
4 Zr 0.733 0.250 0.452
5 Ta 0.372 0.250 0.864
6 Ta 0.628 0.750 0.136
7 N 0.059 0.250 0.665
8 N 0.245 0.750 0.991
9 N 0.458 0.750 0.340
10 N 0.542 0.250 0.660
11 N 0.755 0.250 0.009
12 N 0.941 0.750 0.335

***

Density functional theory data (PBE) for an optimized crystal structure of PmNpIr2.

ΔH_f (0 K) (eV per atom): -0.368
Crystal system: trigonal
Total moment (μB/f.u.): 2.61
Excess energy over the best structure of this formula in the dataset (meV/atom): 75.8
ρ (kg/m3): 13792

Lattice parameters (Å, degrees): 6.988 6.988 6.988 33.44 33.44 33.44
Positions (direct):
1 Pm 0.000 0.000 0.000
2 Np 0.500 0.500 0.500
3 Ir 0.240 0.240 0.240
4 Ir 0.760 0.760 0.760

***

Density functional theory data (PBE) for an optimized crystal structure of Cs4BSe4.

Crystal system: tetragonal
Total moment (μB/f.u.): 1.00
ΔE_f (raw) (eV per atom): -0.52
Excess energy over the best structure of this formula in the dataset (meV/atom): 291.3
ρ (kg/m3): 3902

Lattice parameters (Å, degrees): 8.009 8.009 8.009 101.25 101.25 127.57
Positions (direct):
1 Cs 0.069 0.711 0.780
2 Cs 0.289 0.069 0.358
3 Cs 0.711 0.931 0.642
4 Cs 0.931 0.289 0.220
5 B 0.500 0.500 0.000
6 Se 0.296 0.431 0.726
7 Se 0.431 0.704 0.135
8 Se 0.569 0.296 0.865
9 Se 0.704 0.569 0.274

***

Density functional theory data (PBE) for an optimized crystal structure of Sc5Bi4C.

ΔH_f (0 K) (eV per atom): -0.514
Crystal system: tetragonal
Total moment (μB/f.u.): 0.00
ρ (kg/m3): 7252

Lattice parameters (Å, degrees): 7.075 7.075 7.075 100.24 100.24 130.11
Positions (direct):
1 Sc 0.000 0.000 0.000
2 Sc 0.344 0.676 0.858
3 Sc 0.486 0.344 0.668
4 Sc 0.676 0.818 0.332
5 Sc 0.818 0.486 0.142
6 Bi 0.005 0.770 0.607
7 Bi 0.163 0.399 0.393
8 Bi 0.399 0.005 0.235
9 Bi 0.770 0.163 0.765
10 C 0.627 0.627 0.000

***

Question: The highest total moment belongs to which entry?
Answer: PmNpIr2